Record 1
Ba3PaPd2O8 | GGA-PBE | relaxed

Summary:
The total energy comes out at -92.7 eV for the cell shown.

Lattice parameters (Å, degrees): 6.0463 6.0463 8.0951 90.00 90.00 120.00
With the nearest neighbours (Å) after each atom.
Atoms (fractional coordinates):
Ba: 0.6667 0.3333 0.3634  1 O 2.52
Ba: 0.3333 0.6667 0.6366  1 O 2.52
Ba: 0.0000 0.0000 0.0000  12 O 3.28-3.52
O: 0.3333 0.6667 0.9476  1 Pd 1.91
O: 0.3334 0.1667 0.6565  1 Pa 2.16, 1 Pd 2.17
O: 0.1667 0.3334 0.3435  1 Pa 2.16, 1 Pd 2.17
O: 0.8333 0.6666 0.6565  1 Pa 2.16, 1 Pd 2.17
O: 0.6666 0.8333 0.3435  1 Pa 2.16, 1 Pd 2.17
O: 0.6667 0.3333 0.0524  1 Pd 1.91
O: 0.8333 0.1667 0.6565  1 Pa 2.16, 1 Pd 2.17
O: 0.1667 0.8333 0.3435  1 Pa 2.16, 1 Pd 2.17
Pd: 0.6667 0.3333 0.8165  1 O 1.91
Pd: 0.3333 0.6667 0.1835  1 O 1.91
Pa: 0.0000 0.0000 0.5000  6 O 2.16

---

Record 2
Ba3PaPd2O9 | GGA-PBE | relaxed

Summary:
The total energy comes out at -102.2 eV for the cell shown.

Lattice parameters (Å, degrees): 5.9356 5.9356 7.4052 90.00 90.00 120.00
With the nearest neighbours (Å) after each atom.
Atoms (fractional coordinates):
O: 0.3365 0.1683 0.6712  1 Pd 2.08, 1 Pa 2.14
O: 0.1683 0.3365 0.3288  1 Pd 2.08, 1 Pa 2.14
O: 0.1683 0.8317 0.3288  1 Pd 2.08, 1 Pa 2.14
O: 0.6635 0.8317 0.3288  1 Pd 2.08, 1 Pa 2.14
O: 0.5000 0.0000 0.0000  2 Pd 2.11
O: 0.8317 0.1683 0.6712  1 Pd 2.08, 1 Pa 2.14
O: 0.8317 0.6635 0.6712  1 Pd 2.08, 1 Pa 2.14
O: 0.5000 0.5000 0.0000  2 Pd 2.11
O: 0.0000 0.5000 0.0000  2 Pd 2.11
Ba: 0.0000 0.0000 0.0000  12 O 2.97-2.99
Ba: 0.3333 0.6667 0.7052  9 O 2.78-2.98
Ba: 0.6667 0.3333 0.2948  9 O 2.78-2.98
Pd: 0.3333 0.6667 0.1658  6 O 2.08-2.11
Pd: 0.6667 0.3333 0.8342  6 O 2.08-2.11
Pa: 0.0000 0.0000 0.5000  6 O 2.14

---

Record 3
BaPaPd2O6 | GGA-PBE | relaxed

Summary:
The total energy comes out at -68.6 eV for the cell shown.

Lattice parameters (Å, degrees): 5.9436 5.9436 6.7514 63.88 63.88 60.00
With the nearest neighbours (Å) after each atom.
Atoms (fractional coordinates):
Pd: 0.7685 0.7685 0.6945  3 O 1.98
Pd: 0.2315 0.2315 0.3055  3 O 1.98
Pa: 0.5000 0.5000 0.5000  6 O 2.18
O: 0.4541 0.7196 0.7106  1 Pd 1.98, 1 Pa 2.18
O: 0.2804 0.8843 0.2894  1 Pd 1.98, 1 Pa 2.18
O: 0.1157 0.4541 0.7106  1 Pd 1.98, 1 Pa 2.18
O: 0.8843 0.5459 0.2894  1 Pd 1.98, 1 Pa 2.18
O: 0.7196 0.1157 0.7106  1 Pd 1.98, 1 Pa 2.18
O: 0.5459 0.2804 0.2894  1 Pd 1.98, 1 Pa 2.18
Ba: 0.0000 0.0000 0.0000  6 O 2.76

---

Record 4
BaPmPa2O8 | GGA-PBE | relaxed

Summary:
The total energy comes out at -104.2 eV for the cell shown.

Lattice parameters (Å, degrees): 5.6502 5.6502 6.7895 114.59 114.59 90.00
With the nearest neighbours (Å) after each atom.
Atoms (fractional coordinates):
Pa: 0.2500 0.7500 0.5000  8 O 2.31-2.33
Pa: 0.5000 0.5000 0.0000  8 O 2.33-2.34
O: 0.5997 0.1205 0.7614  2 Pa 2.33, 1 Pm 2.46, 1 O 2.48, 1 Ba 2.60
O: 0.8795 0.8384 0.2386  2 Pa 2.33, 1 Pm 2.46, 1 O 2.48, 1 Ba 2.60
O: 0.8831 0.4011 0.2411  2 Pa 2.31-2.34, 1 Pm 2.46, 1 O 2.48
O: 0.1600 0.1169 0.7589  2 Pa 2.31-2.34, 1 Pm 2.46, 1 O 2.48
O: 0.1616 0.6409 0.7614  2 Pa 2.33, 1 Pm 2.46, 1 O 2.48, 1 Ba 2.60
O: 0.3591 0.4003 0.2386  2 Pa 2.33, 1 Pm 2.46, 1 O 2.48, 1 Ba 2.60
O: 0.5989 0.6420 0.7589  2 Pa 2.31-2.34, 1 Pm 2.46, 1 O 2.48
O: 0.3580 0.8400 0.2411  2 Pa 2.31-2.34, 1 Pm 2.46, 1 O 2.48
Ba: 0.7500 0.2500 0.5000  8 O 2.59-2.60
Pm: 0.0000 0.0000 0.0000  8 O 2.46

---

| no. | raw formation energy (eV per atom) |
| --- | --- |
| 1 | -1.953 |
| 2 | -2.128 |
| 3 | -1.706 |
| 4 | -3.241 |